(1)
Entry from Alexandria via LeMat-Bulk: a geometry-optimized Tb2Pr6HoTm structure (PBE).

Computed properties:
space-group type = C2/c
total magnetic moment = 0.000 μB per atom
DFT formation energy = 0.1155 eV/atom

```
Tb2Pr6HoTm
1.0
4.654 -7.723 0.000
4.654 7.723 0.000
-1.276 0.000 9.608
Tb Pr Ho Tm
4 12 2 2
Direct
0.200 0.297 0.046
0.297 0.200 0.546
0.703 0.800 0.454
0.800 0.703 0.954
0.007 0.565 0.191
0.117 0.764 0.554
0.236 0.883 0.946
0.292 0.509 0.383
0.435 0.993 0.309
0.491 0.708 0.117
0.509 0.292 0.883
0.565 0.007 0.691
0.708 0.491 0.617
0.764 0.117 0.054
0.883 0.236 0.446
0.993 0.435 0.809
0.027 0.973 0.250
0.973 0.027 0.750
0.412 0.588 0.750
0.588 0.412 0.250
```

=====

(2)
Entry from Alexandria via LeMat-Bulk: a geometry-optimized Tb2PrHo2Tm structure (PBE).

Computed properties:
space-group type = Pnnm
total magnetic moment = 0.001 μB per atom
DFT formation energy = 0.0687 eV/atom

```
Tb2PrHo2Tm
1.0
6.943 0.000 0.000
0.000 9.791 0.000
0.000 0.000 5.605
Tb Pr Ho Tm
4 2 4 2
Direct
0.248 0.167 0.000
0.252 0.667 0.500
0.748 0.333 0.500
0.752 0.833 0.000
0.000 0.500 0.000
0.500 0.000 0.500
0.249 0.833 0.000
0.251 0.333 0.500
0.749 0.667 0.500
0.751 0.167 0.000
0.000 0.000 0.500
0.500 0.500 0.000
```

=====

(3)
Entry from Alexandria via LeMat-Bulk: a geometry-optimized TbPr2Ho6Tm structure (PBE).

Computed properties:
space-group type = C2/c
total magnetic moment = 0.000 μB per atom
DFT formation energy = 0.1170 eV/atom

```
TbPr2Ho6Tm
1.0
4.503 -7.500 0.000
4.503 7.500 0.000
-1.540 0.000 9.573
Tb Pr Ho Tm
2 4 12 2
Direct
0.017 0.983 0.750
0.983 0.017 0.250
0.194 0.297 0.543
0.297 0.194 0.043
0.703 0.806 0.957
0.806 0.703 0.457
0.021 0.575 0.688
0.125 0.742 0.057
0.258 0.875 0.443
0.294 0.505 0.881
0.425 0.979 0.812
0.495 0.706 0.619
0.505 0.294 0.381
0.575 0.021 0.188
0.706 0.495 0.119
0.742 0.125 0.557
0.875 0.258 0.943
0.979 0.425 0.312
0.407 0.593 0.250
0.593 0.407 0.750
```

=====

(4)
Entry from Alexandria via LeMat-Bulk: a geometry-optimized Tb2PrHo6Tm structure (PBE).

Computed properties:
space-group type = C2/c
total magnetic moment = 0.000 μB per atom
DFT formation energy = 0.1194 eV/atom

```
Tb2PrHo6Tm
1.0
4.526 -7.500 0.000
4.526 7.500 0.000
-1.167 0.000 9.437
Tb Pr Ho Tm
4 2 12 2
Direct
0.195 0.301 0.454
0.301 0.195 0.954
0.699 0.805 0.046
0.805 0.699 0.546
0.476 0.524 0.750
0.524 0.476 0.250
0.009 0.792 0.882
0.066 0.517 0.684
0.208 0.991 0.618
0.249 0.625 0.057
0.375 0.751 0.443
0.483 0.934 0.816
0.517 0.066 0.184
0.625 0.249 0.557
0.751 0.375 0.943
0.792 0.009 0.382
0.934 0.483 0.316
0.991 0.208 0.118
0.090 0.910 0.250
0.910 0.090 0.750
```

=====

(5)
Entry from Alexandria via LeMat-Bulk: a geometry-optimized TbPr2HoTm5 structure (PBE).

Computed properties:
space-group type = I4/mcm
total magnetic moment = 0.000 μB per atom
DFT formation energy = 0.2720 eV/atom

```
TbPr2HoTm5
1.0
-4.294 4.294 7.792
4.294 -4.294 7.792
4.294 4.294 -7.792
Tb Pr Ho Tm
2 4 2 10
Direct
0.250 0.250 0.000
0.750 0.750 0.000
0.118 0.618 0.736
0.382 0.118 0.500
0.618 0.882 0.500
0.882 0.382 0.264
0.250 0.750 0.500
0.750 0.250 0.500
0.000 0.000 0.000
0.072 0.146 0.500
0.146 0.646 0.073
0.354 0.428 0.500
0.428 0.928 0.073
0.500 0.500 0.000
0.572 0.072 0.927
0.646 0.572 0.500
0.854 0.354 0.927
0.928 0.854 0.500
```

=====

(6)
Entry from Alexandria via LeMat-Bulk: a geometry-optimized TbPrHoTm3 structure (PBE).

Computed properties:
space-group type = Cmcm
total magnetic moment = 0.000 μB per atom
DFT formation energy = 0.1205 eV/atom

```
TbPrHoTm3
1.0
2.905 -5.634 0.000
2.905 5.634 0.000
0.000 0.000 11.639
Tb Pr Ho Tm
2 2 2 6
Direct
0.000 0.000 0.000
0.000 0.000 0.500
0.495 0.505 0.750
0.505 0.495 0.250
0.174 0.826 0.750
0.826 0.174 0.250
0.168 0.832 0.250
0.327 0.673 0.004
0.327 0.673 0.496
0.673 0.327 0.504
0.673 0.327 0.996
0.832 0.168 0.750
```

=====

What is the total magnetic moment in the fifth record? 0.000 μB per atom